[1]
## Ag2BrCl (PBE-GGA)

Data for a relaxed structure of Ag2BrCl.

Unit cell a=3.999 b=6.645 c=3.751 alpha=90.00 beta=90.00 gamma=90.00
Fractional positions:
Br1 0.500 0.000 0.500
Ag1 0.000 0.000 0.000
Ag2 0.500 0.500 0.000
Cl1 0.000 0.500 0.500

Output
The total magnetization comes out at 0.0 μB per formula unit. As for the density of states at the Fermi level: 0.185 states/eV/f.u. The formation energy from raw total energies comes out at -269 meV per atom. For the electronic total energy, the calculation gives -2.574 eV per atom.


[2]
## Rb3YTi (PBE-GGA)

Data for a relaxed structure of Rb3YTi.

Unit cell a=6.830 b=6.830 c=6.830 alpha=90.00 beta=90.00 gamma=90.00
Site moments in Bohr magnetons follow the coordinates.
Fractional positions:
Y1 0.500 0.500 0.500  0.58
Rb1 0.000 0.500 0.000  0.04
Rb2 0.000 0.000 0.500  0.04
Rb3 0.500 0.000 0.000  0.04
Ti1 0.000 0.000 0.000  2.22

Output
The total magnetization comes out at 5.4 μB per formula unit. As for the density of states at the Fermi level: 5.542 states/eV/f.u. As for the formation energy: 132 kJ/mol of atoms. For the electronic total energy, the calculation gives -2.085 eV per atom.


[3]
## HfBiTe (PBE-GGA)

Data for a relaxed structure of HfBiTe.

Unit cell a=3.914 b=7.012 c=6.580 alpha=90.27 beta=90.00 gamma=90.00
Fractional positions:
Hf1 0.822 0.062 0.851
Hf2 0.322 0.062 0.351
Bi1 0.822 0.351 0.189
Bi2 0.822 0.774 0.512
Te1 0.322 0.325 0.688
Te2 0.322 0.800 0.013

Output
The total magnetization comes out at 0.0 μB per formula unit. As for the density of states at the Fermi level: 1.867 states/eV/f.u. The formation energy from raw total energies comes out at -334 meV per atom. For the electronic total energy, the calculation gives -5.992 eV per atom.


[4]
## Tb6Nd2Y3Tl (PBE-GGA)

Data for a relaxed structure of Tb6Nd2Y3Tl.

Unit cell a=6.142 b=6.142 c=11.797 alpha=95.00 beta=95.00 gamma=120.05
Fractional positions:
Tb1 0.917 0.590 0.750
Tb2 0.756 0.756 0.251
Tb3 0.083 0.410 0.250
Tb4 0.590 0.917 0.750
Tb5 0.244 0.244 0.749
Tb6 0.410 0.083 0.250
Nd1 0.334 0.666 0.000
Nd2 0.666 0.334 0.000
Y1 0.167 0.833 0.500
Y2 0.833 0.167 0.500
Y3 0.500 0.500 0.500
Tl1 0.000 0.000 0.000

Output
The total magnetization comes out at 0.0 μB per formula unit. As for the density of states at the Fermi level: 16.132 states/eV/f.u. As for the formation energy: -3 kJ/mol of atoms. For the electronic total energy, the calculation gives -4.950 eV per atom.


[5]
## Lu2ZnOs (PBE-GGA)

Data for a relaxed structure of Lu2ZnOs.

Unit cell a=3.380 b=3.380 c=7.046 alpha=90.00 beta=90.00 gamma=90.00
Fractional positions:
Zn1 0.500 0.500 0.500
Lu1 0.000 0.000 0.770
Lu2 0.000 0.000 0.230
Os1 0.500 0.500 0.000

Output
The total magnetization comes out at 0.0 μB per formula unit. As for the density of states at the Fermi level: 2.067 states/eV/f.u. As for the formation energy: -38 kJ/mol of atoms. For the electronic total energy, the calculation gives -5.784 eV per atom.


[6]
## NaHg4Au2 (PBE-GGA)

Data for a relaxed structure of NaHg4Au2.

Unit cell a=7.734 b=7.684 c=7.079 alpha=67.31 beta=79.12 gamma=107.36
Fractional positions:
Na1 0.498 0.878 0.879
Na2 0.939 0.960 0.040
Hg1 0.253 0.039 0.594
Hg2 0.064 0.573 0.123
Hg3 0.633 0.049 0.313
Hg4 0.654 0.538 0.032
Hg5 0.362 0.222 0.943
Hg6 0.827 0.730 0.544
Hg7 0.940 0.165 0.540
Hg8 0.179 0.497 0.743
Au1 0.771 0.290 0.847
Au2 0.503 0.644 0.355
Au3 0.226 0.821 0.319
Au4 0.652 0.343 0.478

Output
The total magnetization comes out at 0.0 μB per formula unit. As for the density of states at the Fermi level: 1.607 states/eV/f.u. As for the formation energy: -7 kJ/mol of atoms. For the electronic total energy, the calculation gives -1.375 eV per atom.